1.
Mg4ScTa: optimized geometry, PBE.

As for the formation energy: 0.322 eV/atom. For the density of states at the Fermi level, the calculation gives 15.5 states/eV/cell. For the total moment, the calculation gives 2.92 μB/f.u.

It has space group F-43m (No. 216), with a = 7.9792 Å, b = 7.9792 Å, c = 7.9792 Å, α = 90.00°, β = 90.00° and γ = 90.00°. The distinct sites, in fractional coordinates, are Mg at (0.1241, 0.1241, 0.3759), Sc at (0.0000, 0.0000, 0.0000) and Ta at (0.2500, 0.2500, 0.7500).

***

2.
MgScTa3: optimized geometry, PBE.

As for the formation energy: 1.646 eV/atom. For the density of states at the Fermi level, the calculation gives 7.4 states/eV/cell. For the total moment, the calculation gives 0.00 μB/f.u. For the offset from the most stable computed form, the calculation gives 0.000 eV per atom.

It has space group Pm-3m (No. 221), with a = 4.7976 Å, b = 4.7976 Å, c = 4.7976 Å, α = 90.00°, β = 90.00° and γ = 90.00°. The distinct sites, in fractional coordinates, are Mg at (0.0000, 0.0000, 0.0000), Sc at (0.5000, 0.5000, 0.5000) and Ta at (0.0000, 0.0000, 0.5000).

***

3.
MgScTa3: optimized geometry, PBE.

As for the formation energy: 1.753 eV/atom. For the density of states at the Fermi level, the calculation gives 6.7 states/eV/cell. For the total moment, the calculation gives 0.00 μB/f.u. For the offset from the most stable computed form, the calculation gives 0.107 eV per atom.

It has space group Pm-3m (No. 221), with a = 4.8051 Å, b = 4.8051 Å, c = 4.8051 Å, α = 90.00°, β = 90.00° and γ = 90.00°. The distinct sites, in fractional coordinates, are Mg at (0.0000, 0.0000, 0.0000), Sc at (0.5000, 0.5000, 0.5000) and Ta at (0.0000, 0.5000, 0.5000).

***

4.
MgSc4Ta: optimized geometry, PBE.

As for the formation energy: 0.459 eV/atom. For the density of states at the Fermi level, the calculation gives 19.8 states/eV/cell. For the total moment, the calculation gives 1.21 μB/f.u.

It has space group F-43m (No. 216), with a = 8.1665 Å, b = 8.1665 Å, c = 8.1665 Å, α = 90.00°, β = 90.00° and γ = 90.00°. The distinct sites, in fractional coordinates, are Mg at (0.0000, 0.0000, 0.0000), Sc at (0.1231, 0.1231, 0.6231) and Ta at (0.2500, 0.2500, 0.2500).

***

5.
MgSc2Ta2: optimized geometry, PBE.

As for the formation energy: 0.340 eV/atom. For the density of states at the Fermi level, the calculation gives 11.7 states/eV/cell. For the total moment, the calculation gives 0.00 μB/f.u. For the offset from the most stable computed form, the calculation gives 0.000 eV per atom.

It has space group P4/mbm (No. 127), with a = 7.8703 Å, b = 7.8703 Å, c = 3.5165 Å, α = 90.00°, β = 90.00° and γ = 90.00°. The distinct sites, in fractional coordinates, are Mg at (0.0000, 0.0000, 0.0000), Sc at (0.1743, 0.3257, 0.5000) and Ta at (0.1179, 0.6179, 0.0000).

***

6.
Tb3Mg6Sc: optimized geometry, PBE.

As for the formation energy: -0.055 eV/atom. For the density of states at the Fermi level, the calculation gives 21.1 states/eV/cell. For the total moment, the calculation gives 0.24 μB/f.u.

It has space group P2_1/m (No. 11), with a = 9.1926 Å, b = 5.2157 Å, c = 11.1361 Å, α = 90.00°, β = 105.26° and γ = 90.00°. The distinct sites, in fractional coordinates, are Tb at (0.0423, 0.2500, 0.3979), Tb at (0.1492, 0.7500, 0.2103), Tb at (0.2515, 0.2500, 0.0073), Mg at (0.0589, 0.7500, 0.9024), Mg at (0.1720, 0.2500, 0.7058), Mg at (0.2693, 0.7500, 0.5161), Mg at (0.3542, 0.7500, 0.8111), Mg at (0.3672, 0.2500, 0.3091), Mg at (0.4562, 0.7500, 0.1102) and Sc at (0.4526, 0.2500, 0.5960).

***

7.
Tb4MgSc: optimized geometry, PBE.

As for the formation energy: 0.001 eV/atom. For the density of states at the Fermi level, the calculation gives 8.1 states/eV/cell. For the total moment, the calculation gives 0.00 μB/f.u. For the offset from the most stable computed form, the calculation gives 0.000 eV per atom.

It has space group P4/mmm (No. 123), with a = 3.5226 Å, b = 3.5226 Å, c = 14.1294 Å, α = 90.00°, β = 90.00° and γ = 90.00°. The distinct sites, in fractional coordinates, are Tb at (0.0000, 0.0000, 0.1592), Tb at (0.5000, 0.5000, 0.3352), Mg at (0.5000, 0.5000, 0.0000) and Sc at (0.0000, 0.0000, 0.5000).

***

8.
Tb4MgSc: optimized geometry, PBE.

As for the formation energy: 0.049 eV/atom. For the density of states at the Fermi level, the calculation gives 14.7 states/eV/cell. For the total moment, the calculation gives 0.00 μB/f.u. For the offset from the most stable computed form, the calculation gives 0.048 eV per atom.

It has space group C2/m (No. 12), with a = 11.6226 Å, b = 5.4621 Å, c = 6.6959 Å, α = 90.00°, β = 124.56° and γ = 90.00°. The distinct sites, in fractional coordinates, are Tb at (0.1541, 0.0000, 0.0029), Tb at (0.1841, 0.0000, 0.5419), Mg at (0.0000, 0.5000, 0.0000) and Sc at (0.0000, 0.5000, 0.5000).

***

9.
Tb2MgSc2: optimized geometry, PBE.

As for the formation energy: 0.001 eV/atom. For the density of states at the Fermi level, the calculation gives 35.5 states/eV/cell. For the total moment, the calculation gives 0.00 μB/f.u. For the offset from the most stable computed form, the calculation gives 0.000 eV per atom.

It has space group Cmcm (No. 63), with a = 18.6978 Å, b = 5.4831 Å, c = 5.3367 Å, α = 90.00°, β = 90.00° and γ = 90.00°. The distinct sites, in fractional coordinates, are Tb at (0.1036, 0.2249, 0.2500), Mg at (0.0000, 0.2736, 0.7500) and Sc at (0.2097, 0.3040, 0.7500).

***

10.
Tb12MgSc3: optimized geometry, PBE.

As for the formation energy: 0.031 eV/atom. For the density of states at the Fermi level, the calculation gives 23.9 states/eV/cell. For the total moment, the calculation gives 0.00 μB/f.u.

It has space group P4/mmm (No. 123), with a = 4.9207 Å, b = 4.9207 Å, c = 19.7650 Å, α = 90.00°, β = 90.00° and γ = 90.00°. The distinct sites, in fractional coordinates, are Tb at (0.0000, 0.0000, 0.0000), Tb at (0.0000, 0.0000, 0.2491), Tb at (0.0000, 0.0000, 0.5000), Tb at (0.0000, 0.5000, 0.1264), Tb at (0.0000, 0.5000, 0.3752), Mg at (0.5000, 0.5000, 0.0000), Sc at (0.5000, 0.5000, 0.2500) and Sc at (0.5000, 0.5000, 0.5000).

***

11.
Tb3MgSc2: optimized geometry, PBE.

As for the formation energy: 0.067 eV/atom. For the density of states at the Fermi level, the calculation gives 27.3 states/eV/cell. For the total moment, the calculation gives 0.00 μB/f.u. For the offset from the most stable computed form, the calculation gives 0.058 eV per atom.

It has space group C2/c (No. 15), with a = 16.4836 Å, b = 6.3504 Å, c = 6.5437 Å, α = 90.00°, β = 95.01° and γ = 90.00°. The distinct sites, in fractional coordinates, are Tb at (0.0000, 0.1869, 0.2500), Tb at (0.1868, 0.0750, 0.6727), Mg at (0.0000, 0.3049, 0.7500) and Sc at (0.1424, 0.4490, 0.0152).

***

12.
TbMg12Sc3: optimized geometry, PBE.

As for the formation energy: -0.046 eV/atom. For the density of states at the Fermi level, the calculation gives 12.3 states/eV/cell. For the total moment, the calculation gives 0.00 μB/f.u.

It has space group P4/mmm (No. 123), with a = 4.5260 Å, b = 4.5260 Å, c = 18.4429 Å, α = 90.00°, β = 90.00° and γ = 90.00°. The distinct sites, in fractional coordinates, are Tb at (0.0000, 0.0000, 0.0000), Mg at (0.0000, 0.5000, 0.1316), Mg at (0.0000, 0.5000, 0.3775), Mg at (0.5000, 0.5000, 0.0000), Mg at (0.5000, 0.5000, 0.2549), Mg at (0.5000, 0.5000, 0.5000), Sc at (0.0000, 0.0000, 0.2549) and Sc at (0.0000, 0.0000, 0.5000).

***

> Among the records above, which one has the highest total moment?

Mg4ScTa

***

> Which of these has the highest total moment?

Mg4ScTa